No. 1
The following is a DFT calculation (PBE) of a geometry-optimized YSc2NbO structure.

Cell lengths 4.405, 4.405, 4.847 Å; angles 90.00, 90.00, 90.00 degrees
Sites, in units of the cell vectors:
1 Y 0.000 0.000 0.000
2 Sc 0.000 0.500 0.500
3 Sc 0.500 0.000 0.500
4 Nb 0.500 0.500 0.000
5 O 0.000 0.000 0.500

Output
- D(E_F) (states/eV/f.u.) = 5.6
- ΔE_f (raw) (meV per atom) = -1047



No. 2
The following is a DFT calculation (PBE) of a geometry-optimized Zr2ScNbO structure.

Cell lengths 4.580, 4.580, 4.267 Å; angles 90.00, 90.00, 90.00 degrees
Sites, in units of the cell vectors:
1 Zr 0.000 0.500 0.000
2 Zr 0.500 0.000 0.000
3 Sc 0.000 0.000 0.500
4 Nb 0.500 0.500 0.500
5 O 0.000 0.000 0.000

Output
- D(E_F) (states/eV/f.u.) = 3.1
- ΔE_f (raw) (meV per atom) = -1088



No. 3
The following is a DFT calculation (PBE) of a geometry-optimized ZrSc2NbO structure.

Cell lengths 4.359, 4.359, 4.642 Å; angles 90.00, 90.00, 90.00 degrees
Sites, in units of the cell vectors:
1 Zr 0.000 0.000 0.000
2 Sc 0.000 0.500 0.500
3 Sc 0.500 0.000 0.500
4 Nb 0.500 0.500 0.000
5 O 0.000 0.000 0.500

Output
- D(E_F) (states/eV/f.u.) = 4.8
- ΔE_f (raw) (meV per atom) = -1116



No. 4
The following is a DFT calculation (PBE) of a geometry-optimized Nb2SeO structure.

Cell lengths 4.714, 4.714, 13.032 Å; angles 90.00, 90.00, 90.00 degrees
Sites, in units of the cell vectors:
1 Nb 0.153 0.250 0.125
2 Nb 0.250 0.653 0.375
3 Nb 0.250 0.847 0.875
4 Nb 0.347 0.250 0.625
5 Nb 0.653 0.750 0.625
6 Nb 0.750 0.153 0.875
7 Nb 0.750 0.347 0.375
8 Nb 0.847 0.750 0.125
9 Se 0.000 0.000 0.500
10 Se 0.000 0.500 0.750
11 Se 0.500 0.000 0.250
12 Se 0.500 0.500 0.000
13 O 0.000 0.000 0.000
14 O 0.000 0.500 0.250
15 O 0.500 0.000 0.750
16 O 0.500 0.500 0.500

Output
- D(E_F) (states/eV/f.u.) = 4.3
- ΔE_f (raw) (meV per atom) = -749